Ac2NdTmS6 | the Alexandria database | PBE-GGA | relaxed; magnetization = 0.0 μB/f.u.; formation energy without anion corrections = -2090 meV/atom
1.0
3.655 2.110 6.246
-3.655 2.110 6.246
0.000 -4.220 6.246
Ac Nd Tm S
2 1 1 6
Cartesian
0.000 0.000 0.000
0.000 0.000 9.338
0.000 0.000 4.013
0.000 0.000 13.329
-1.332 -2.490 8.382
-2.079 0.215 11.554
-1.490 2.398 8.382
0.854 -1.908 11.554
2.822 0.092 8.382
1.226 1.693 11.554